<P>
Here is crystalline InSCl2 at its relaxed geometry from Alexandria via LeMat-Bulk. Energies are from PBE-GGA.

Values from the calculation:
- space group = R-3m, No. 166
- magnetization (μB per formula unit) = 2.260
- ρ (g/cm³) = 3.36

a = 9.641 Å, b = 9.641 Å, c = 9.641 Å
α = 21.73°, β = 21.73°, γ = 21.73°
Fractional positions:
1 S 0.500 0.500 0.500
2 Cl 0.087 0.087 0.087
3 Cl 0.913 0.913 0.913
4 In 0.000 0.000 0.000

<Q>
Here is crystalline InSCl2 at its relaxed geometry from Alexandria via LeMat-Bulk. Energies are from PBE-GGA.

Values from the calculation:
- space group = I-42d, No. 122
- magnetization (μB per formula unit) = 1.002
- ρ (g/cm³) = 3.17

a = 9.494 Å, b = 9.494 Å, c = 7.176 Å
α = 48.58°, β = 48.58°, γ = 90.00°
Fractional positions:
1 In 0.750 0.250 0.500
2 Cl 0.875 0.022 0.750
3 S 0.250 0.750 0.500
4 Cl 0.772 0.125 0.250
5 In 0.000 0.000 0.000
6 S 0.500 0.500 0.000
7 Cl 0.375 0.228 0.750
8 Cl 0.978 0.625 0.250

<R>
Here is crystalline InSCl2 at its relaxed geometry from Alexandria via LeMat-Bulk. Energies are from PBE-GGA.

Values from the calculation:
- space group = Fm-3m, No. 225
- magnetization (μB per formula unit) = 2.378
- ρ (g/cm³) = 3.82

a = 5.114 Å, b = 5.114 Å, c = 5.114 Å
α = 60.00°, β = 60.00°, γ = 60.00°
Fractional positions:
1 In 0.500 0.500 0.500
2 S 0.000 0.000 0.000
3 Cl 0.750 0.750 0.750
4 Cl 0.250 0.250 0.250

<S>
Here is crystalline InSCl2 at its relaxed geometry from Alexandria via LeMat-Bulk. Energies are from PBE-GGA.

Values from the calculation:
- space group = R-3m, No. 166
- magnetization (μB per formula unit) = 1.000
- ρ (g/cm³) = 2.51

a = 8.427 Å, b = 8.427 Å, c = 8.427 Å
α = 31.39°, β = 31.39°, γ = 31.39°
Fractional positions:
1 In 0.500 0.500 0.500
2 S 0.000 0.000 0.000
3 Cl 0.904 0.904 0.904
4 Cl 0.096 0.096 0.096

Name the most stable of them. <Q>.